# KAlFe2F2 | the Alexandria database | PBE+U | optimized geometry
# **DOS at the Fermi energy**: 0.54 states/eV/f.u.
# **Energy**: -3.966 eV per atom
data_KAlFe2F2
_chemical_formula_sum 'K2 Al2 Fe4 F4'
_cell_length_a 6.4922
_cell_length_b 6.4922
_cell_length_c 6.6436
_cell_angle_alpha 90.00
_cell_angle_beta 90.00
_cell_angle_gamma 90.00
_symmetry_space_group_name_H-M 'P 1'
_symmetry_Int_Tables_number 1
_symmetry_space_group_name_Hall 'P 1'
loop_
_atom_site_label
_atom_site_type_symbol
_atom_site_fract_x
_atom_site_fract_y
_atom_site_fract_z
_atom_site_occupancy
Al1 Al 0.0000 0.0000 0.0000 1
F1 F 0.0000 0.0000 0.7229 1
F2 F 0.5000 0.5000 0.7229 1
K1 K 0.0000 0.5000 0.5000 1
F3 F 0.0000 0.0000 0.2771 1
Fe1 Fe 0.3576 0.1424 0.0000 1
Fe2 Fe 0.1424 0.6424 0.0000 1
K2 K 0.5000 0.0000 0.5000 1
Al2 Al 0.5000 0.5000 0.0000 1
F4 F 0.5000 0.5000 0.2771 1
Fe3 Fe 0.6424 0.8576 0.0000 1
Fe4 Fe 0.8576 0.3576 0.0000 1